LiMg8Ni2 (GGA-PBE, optimized geometry); energy relative to the elements = -0.3 eV/f.u.
1.0
3.966 -5.798 0.000
3.966 5.798 0.000
-1.304 0.000 4.849
Li Mg Ni
1 8 2
Cartesian
0.000 0.000 0.000
0.801 1.524 2.833
3.966 2.878 0.000
0.801 -1.524 2.833
2.827 0.000 0.979
3.801 0.000 3.870
5.827 1.524 2.016
3.966 -2.878 0.000
5.827 -1.524 2.016
3.314 2.155 2.425
3.314 -2.155 2.425